Record 1
InCu2P | meta-GGA SCAN | single point on PBEsol structure

Calculated values
Its magnetic moment is 0.00 μB/f.u. As for the formation energy: 106 meV/atom.

Cell lengths 3.817, 3.833, 5.491 Å; angles 107.21, 90.00, 119.86 degrees
Fractional coordinates of all 4 atoms:
Cu1 0.792 0.585 0.864
Cu2 0.208 0.415 0.136
In1 0.000 0.000 0.500
P1 0.500 0.000 0.000

---

Record 2
In2CuP | meta-GGA SCAN | single point on PBEsol structure

Calculated values
Its magnetic moment is 0.00 μB/f.u. As for the formation energy: 493 meV/atom.

Cell lengths 4.779, 4.779, 4.779 Å; angles 60.00, 60.00, 60.00 degrees
Fractional coordinates of all 4 atoms:
Cu1 0.500 0.500 0.500
In1 0.000 0.000 0.000
In2 0.250 0.250 0.250
P1 0.750 0.750 0.750

---

Record 3
InCu3P | meta-GGA SCAN | single point on PBEsol structure

Calculated values
Its magnetic moment is 0.00 μB/f.u. As for the formation energy: 1316 meV/atom.

Cell lengths 4.663, 4.663, 4.663 Å; angles 90.00, 90.00, 90.00 degrees
Fractional coordinates of all 5 atoms:
P1 0.500 0.500 0.500
Cu1 0.000 0.500 0.000
Cu2 0.000 0.000 0.500
Cu3 0.500 0.000 0.000
In1 0.000 0.000 0.000

---

Record 4
In2CuPb | meta-GGA SCAN | single point on PBEsol structure

Calculated values
Its magnetic moment is 0.00 μB/f.u. As for the formation energy: 284 meV/atom.

Cell lengths 3.593, 4.744, 6.168 Å; angles 111.78, 105.86, 92.67 degrees
Fractional coordinates of all 4 atoms:
Cu1 0.000 0.500 0.000
In1 0.000 0.000 0.500
In2 0.500 0.500 0.500
Pb1 0.500 0.000 0.000

---

Record 5
In2CuPb | meta-GGA SCAN | single point on PBEsol structure

Calculated values
Its magnetic moment is 0.00 μB/f.u. As for the formation energy: 284 meV/atom.

Cell lengths 4.350, 4.350, 4.760 Å; angles 90.00, 90.00, 90.00 degrees
Fractional coordinates of all 4 atoms:
Cu1 0.000 0.000 0.500
In1 0.000 0.500 0.000
In2 0.500 0.000 0.000
Pb1 0.500 0.500 0.500

---

Record 6
In2CuPb | meta-GGA SCAN | single point on PBEsol structure

Calculated values
Its magnetic moment is 0.00 μB/f.u. As for the formation energy: 139 meV/atom.

Cell lengths 3.482, 3.482, 8.990 Å; angles 78.83, 78.83, 60.00 degrees
Fractional coordinates of all 4 atoms:
Cu1 0.000 0.000 0.000
In1 0.266 0.266 0.202
In2 0.734 0.734 0.798
Pb1 0.500 0.500 0.500

---

no.,uncorrected energy (eV/atom)
1,-18.440
2,-22.600
3,-16.560
4,-39.155
5,-39.154
6,-39.300